This record from Alexandria describes a relaxed Hf2CuPd4 crystal. The functional is GGA-PBE.

Calculated values
The mass density comes out at 10.1 g cm⁻³. The distance to the lowest polymorph of the same formula is 4.333 eV/f.u. As for the formation energy: 124 meV/atom. For the magnetic moment, the calculation gives 0.00 μB per atom.

a = 4.590 Å, b = 4.590 Å, c = 7.362 Å
α = 71.84°, β = 71.84°, γ = 90.00°
Fractional coordinates of all 7 atoms:
Pd 0.000 0.500 0.000
Pd 0.188 0.188 0.624
Pd 0.812 0.812 0.376
Pd 0.500 0.000 0.000
Hf 0.376 0.376 0.248
Hf 0.624 0.624 0.752
Cu 0.000 0.000 0.000

This record from Alexandria describes a relaxed Hf3Cu2Pd8 crystal. The functional is GGA-PBE.

Calculated values
The mass density comes out at 11.2 g cm⁻³. As for the formation energy: -311 meV/atom. For the magnetic moment, the calculation gives 0.00 μB per atom.

a = 5.264 Å, b = 5.264 Å, c = 9.850 Å
α = 74.50°, β = 74.50°, γ = 60.00°
Fractional coordinates of all 13 atoms:
Pd 0.719 0.719 0.844
Pd 0.728 0.728 0.318
Pd 0.272 0.272 0.682
Pd 0.272 0.773 0.682
Pd 0.281 0.281 0.156
Pd 0.773 0.272 0.682
Pd 0.728 0.227 0.318
Pd 0.227 0.728 0.318
Hf 0.810 0.810 0.569
Hf 0.190 0.190 0.431
Hf 0.000 0.000 0.000
Cu 0.366 0.366 0.902
Cu 0.634 0.634 0.098

This record from Alexandria describes a relaxed Hf2Cu2Pd crystal. The functional is GGA-PBE.

Calculated values
The mass density comes out at 11.0 g cm⁻³. The distance to the lowest polymorph of the same formula is 1.240 eV/f.u. As for the formation energy: -72 meV/atom. For the magnetic moment, the calculation gives 0.00 μB per atom.

a = 3.907 Å, b = 3.907 Å, c = 6.259 Å
α = 90.00°, β = 90.00°, γ = 111.05°
Fractional coordinates of all 5 atoms:
Hf 0.500 0.500 0.749
Hf 0.500 0.500 0.251
Cu 0.177 0.823 0.500
Cu 0.823 0.177 0.500
Pd 0.000 0.000 0.000

This record from Alexandria describes a relaxed HfCu2Pd5 crystal. The functional is GGA-PBE.

Calculated values
The mass density comes out at 11.4 g cm⁻³. The distance to the lowest polymorph of the same formula is 0.000 eV/f.u. As for the formation energy: -424 meV/atom. For the magnetic moment, the calculation gives 0.00 μB per atom.

a = 4.018 Å, b = 5.514 Å, c = 10.980 Å
α = 90.00°, β = 90.00°, γ = 90.00°
Fractional coordinates of all 16 atoms:
Pd 0.000 0.000 0.000
Pd 0.000 0.500 0.500
Pd 0.000 0.469 0.758
Pd 0.000 0.531 0.242
Pd 0.000 0.969 0.742
Pd 0.500 0.267 0.119
Pd 0.500 0.733 0.881
Pd 0.500 0.767 0.381
Pd 0.500 0.233 0.619
Pd 0.000 0.031 0.258
Hf 0.000 0.000 0.500
Hf 0.000 0.500 0.000
Cu 0.500 0.722 0.631
Cu 0.500 0.278 0.369
Cu 0.500 0.222 0.869
Cu 0.500 0.778 0.131

This record from Alexandria describes a relaxed HfCu2Pd crystal. The functional is GGA-PBE.

Calculated values
The mass density comes out at 11.0 g cm⁻³. As for the formation energy: -167 meV/atom. For the magnetic moment, the calculation gives 0.00 μB per atom.

a = 4.515 Å, b = 2.825 Å, c = 4.920 Å
α = 95.60°, β = 90.00°, γ = 90.00°
Fractional coordinates of all 4 atoms:
Cu 0.000 0.879 0.748
Cu 0.000 0.121 0.252
Pd 0.500 0.000 0.500
Hf 0.500 0.500 0.000

This record from Alexandria describes a relaxed HfCu6Pd12 crystal. The functional is GGA-PBE.

Calculated values
The mass density comes out at 10.4 g cm⁻³. The distance to the lowest polymorph of the same formula is 3.932 eV/f.u. As for the formation energy: -37 meV/atom. For the magnetic moment, the calculation gives 0.00 μB per atom.

a = 6.845 Å, b = 6.845 Å, c = 6.845 Å
α = 102.53°, β = 102.53°, γ = 102.53°
Fractional coordinates of all 19 atoms:
Cu 0.173 0.173 0.423
Cu 0.827 0.827 0.577
Cu 0.173 0.423 0.173
Cu 0.423 0.173 0.173
Cu 0.827 0.577 0.827
Cu 0.577 0.827 0.827
Pd 0.580 0.191 0.580
Pd 0.420 0.420 0.809
Pd 0.258 0.742 0.000
Pd 0.258 0.000 0.742
Pd 0.742 0.258 0.000
Pd 0.809 0.420 0.420
Pd 0.191 0.580 0.580
Pd 0.000 0.258 0.742
Pd 0.000 0.742 0.258
Pd 0.742 0.000 0.258
Pd 0.420 0.809 0.420
Pd 0.580 0.580 0.191
Hf 0.000 0.000 0.000

This record from Alexandria describes a relaxed HfCu2Pd crystal. The functional is GGA-PBE.

Calculated values
The mass density comes out at 11.4 g cm⁻³. As for the formation energy: -283 meV/atom. For the magnetic moment, the calculation gives 0.00 μB per atom.

a = 4.395 Å, b = 4.395 Å, c = 4.395 Å
α = 60.00°, β = 60.00°, γ = 60.00°
Fractional coordinates of all 4 atoms:
Cu 0.750 0.750 0.750
Cu 0.250 0.250 0.250
Hf 0.500 0.500 0.500
Pd 0.000 0.000 0.000

This record from Alexandria describes a relaxed Hf5Cu2Pd12 crystal. The functional is GGA-PBE.

Calculated values
The mass density comes out at 10.8 g cm⁻³. As for the formation energy: -356 meV/atom. For the magnetic moment, the calculation gives 0.00 μB per atom.

a = 5.400 Å, b = 8.159 Å, c = 8.975 Å
α = 107.65°, β = 90.00°, γ = 109.32°
Fractional coordinates of all 19 atoms:
Hf 0.363 0.726 0.140
Hf 0.637 0.274 0.860
Hf 0.322 0.643 0.652
Hf 0.678 0.357 0.348
Hf 0.000 0.000 0.500
Pd 0.910 0.321 0.604
Pd 0.411 0.321 0.604
Pd 0.957 0.390 0.109
Pd 0.487 0.974 0.639
Pd 0.095 0.190 0.285
Pd 0.905 0.810 0.715
Pd 0.567 0.610 0.891
Pd 0.589 0.679 0.396
Pd 0.513 0.026 0.361
Pd 0.433 0.390 0.109
Pd 0.043 0.610 0.891
Pd 0.090 0.679 0.396
Cu 0.747 0.000 0.000
Cu 0.253 0.000 0.000

This record from Alexandria describes a relaxed Hf2Cu2Pd crystal. The functional is GGA-PBE.

Calculated values
The mass density comes out at 11.8 g cm⁻³. The distance to the lowest polymorph of the same formula is 0.000 eV/f.u. As for the formation energy: -320 meV/atom. For the magnetic moment, the calculation gives 0.00 μB per atom.

a = 6.920 Å, b = 6.920 Å, c = 3.464 Å
α = 90.00°, β = 90.00°, γ = 90.00°
Fractional coordinates of all 10 atoms:
Cu 0.876 0.624 0.000
Cu 0.124 0.376 0.000
Cu 0.376 0.876 0.000
Cu 0.624 0.124 0.000
Hf 0.825 0.325 0.500
Hf 0.325 0.175 0.500
Hf 0.675 0.825 0.500
Hf 0.175 0.675 0.500
Pd 0.500 0.500 0.000
Pd 0.000 0.000 0.000

This record from Alexandria describes a relaxed Hf4CuPd crystal. The functional is GGA-PBE.

Calculated values
The mass density comes out at 12.7 g cm⁻³. The distance to the lowest polymorph of the same formula is 0.000 eV/f.u. As for the formation energy: -340 meV/atom. For the magnetic moment, the calculation gives 0.00 μB per atom.

a = 3.201 Å, b = 3.201 Å, c = 11.266 Å
α = 90.00°, β = 90.00°, γ = 90.00°
Fractional coordinates of all 6 atoms:
Hf 0.500 0.500 0.154
Hf 0.000 0.000 0.338
Hf 0.000 0.000 0.662
Hf 0.500 0.500 0.846
Pd 0.500 0.500 0.500
Cu 0.000 0.000 0.000

This record from Alexandria describes a relaxed HfCu8Pd6 crystal. The functional is GGA-PBE.

Calculated values
The mass density comes out at 9.9 g cm⁻³. As for the formation energy: -83 meV/atom. For the magnetic moment, the calculation gives 0.00 μB per atom.

a = 7.155 Å, b = 7.155 Å, c = 6.480 Å
α = 56.49°, β = 56.49°, γ = 60.00°
Fractional coordinates of all 15 atoms:
Cu 0.183 0.866 0.414
Cu 0.866 0.538 0.414
Cu 0.134 0.462 0.586
Cu 0.462 0.817 0.586
Cu 0.225 0.225 0.324
Cu 0.775 0.775 0.676
Cu 0.817 0.134 0.586
Cu 0.538 0.183 0.414
Pd 0.663 0.854 0.100
Pd 0.146 0.617 0.900
Pd 0.617 0.337 0.900
Pd 0.337 0.146 0.900
Pd 0.854 0.383 0.100
Pd 0.383 0.663 0.100
Hf 0.000 0.000 0.000

This record from Alexandria describes a relaxed HfCu3Pd crystal. The functional is GGA-PBE.

Calculated values
The mass density comes out at 8.3 g cm⁻³. The distance to the lowest polymorph of the same formula is 5.101 eV/f.u. As for the formation energy: 812 meV/atom. For the magnetic moment, the calculation gives 0.00 μB per atom.

a = 4.556 Å, b = 4.556 Å, c = 4.556 Å
α = 90.00°, β = 90.00°, γ = 90.00°
Fractional coordinates of all 5 atoms:
Hf 0.500 0.500 0.500
Pd 0.000 0.000 0.000
Cu 0.500 0.000 0.000
Cu 0.000 0.500 0.000
Cu 0.000 0.000 0.500